Entry 1:
Compound: ZrBeBi
Source: Alexandria via LeMat-Bulk
Functional: PBE
Structure: relaxed

Total magnetic moment: 0.0 Bohr magnetons per cell
Energy: -5.429 eV per atom
Energy relative to the elements: -0.04 eV/atom
SG: C2/m, No. 12

Cell: 5.135 3.686 10.824 Å, 64.50 76.28 45.86°
Element x y z (fractional)
Zr1 0.159 0.037 0.644
Zr2 0.841 0.963 0.356
Be1 0.352 0.876 0.419
Be2 0.648 0.124 0.581
Bi1 0.707 0.744 0.841
Bi2 0.293 0.256 0.159


Entry 2:
Compound: CsK3S8
Source: Alexandria via LeMat-Bulk
Functional: PBE
Structure: relaxed

Total magnetic moment: 0.0 Bohr magnetons per cell
Energy: -3.640 eV per atom
E_form (uncorrected): -0.54 eV/atom
SG: I4/mmm, No. 139

Cell: 7.975 7.974 7.973 Å, 68.47 74.59 111.54°
Element x y z (fractional)
S1 0.117 0.000 0.411
S2 0.883 0.473 0.117
S3 0.411 0.527 0.589
S4 0.884 0.000 0.589
S5 0.589 0.000 0.883
S6 0.411 0.000 0.116
S7 0.589 0.473 0.411
S8 0.116 0.527 0.884
K1 0.750 0.500 0.750
K2 0.250 0.500 0.250
K3 0.500 0.000 0.500
Cs1 0.000 0.000 0.000


Entry 3:
Compound: CeGa2Pt2Au
Source: Alexandria via LeMat-Bulk
Functional: PBE
Structure: relaxed

Total magnetic moment: 1.0 Bohr magnetons per cell
Energy: -4.837 eV per atom
Energy relative to the elements: -0.28 eV/atom
SG: P4/mmm, No. 123

Cell: 4.756 4.756 5.675 Å, 90.00 90.00 90.00°
Each line ends with the local moment (μB).
Element x y z (fractional)
Ce1 0.000 0.000 0.500  0.95
Ga1 0.500 0.000 0.000  0.00
Ga2 0.000 0.500 0.000  0.00
Pt1 0.500 0.500 0.261  -0.01
Pt2 0.500 0.500 0.739  -0.01
Au1 0.000 0.000 0.000  0.01


Entry 4:
Compound: Er4BeBr5
Source: Alexandria via LeMat-Bulk
Functional: PBE
Structure: relaxed

Total magnetic moment: 0.0 Bohr magnetons per cell
Energy: -4.237 eV per atom
E_form (uncorrected): -1.20 eV/atom
SG: C2/m, No. 12

Cell: 3.853 8.272 10.406 Å, 89.63 100.67 90.00°
Element x y z (fractional)
Br1 0.500 0.500 0.000
Br2 0.150 0.244 0.301
Br3 0.150 0.751 0.300
Br4 0.850 0.249 0.700
Br5 0.850 0.756 0.699
Er1 0.000 0.779 0.000
Er2 0.000 0.221 0.000
Er3 0.624 0.998 0.248
Er4 0.376 0.002 0.752
Be1 0.500 0.000 0.000


Entry 5:
Compound: KRuSe2Br
Source: Alexandria via LeMat-Bulk
Functional: PBE
Structure: relaxed

Excess energy over the best structure of this formula in the dataset: 0 meV per atom
Total magnetic moment: 0.7 Bohr magnetons per cell
Energy: -4.152 eV per atom
E_form (uncorrected): -0.35 eV/atom
SG: P4/mmm, No. 123

Cell: 4.845 4.845 5.708 Å, 90.00 90.00 90.00°
Each line ends with the local moment (μB).
Element x y z (fractional)
Se1 0.500 0.000 0.000  0.09
Se2 0.000 0.500 0.000  0.09
K1 0.500 0.500 0.500  0.00
Br1 0.000 0.000 0.500  0.00
Ru1 0.000 0.000 0.000  0.42


Entry 6:
Compound: ThAlZnNi3
Source: Alexandria via LeMat-Bulk
Functional: PBE
Structure: relaxed

Total magnetic moment: 0.0 Bohr magnetons per cell
Energy: -5.245 eV per atom
Energy relative to the elements: -0.28 eV/atom
SG: Cmcm, No. 63

Cell: 6.538 5.339 6.320 Å, 114.99 90.00 90.00°
Element x y z (fractional)
Ni1 0.500 0.266 0.000
Ni2 0.250 0.155 0.311
Ni3 0.500 0.734 0.000
Ni4 0.750 0.845 0.689
Ni5 0.000 0.266 0.000
Ni6 0.000 0.734 0.000
Th1 0.750 0.326 0.652
Th2 0.250 0.674 0.348
Al1 0.750 0.627 0.254
Al2 0.250 0.373 0.746
Zn1 0.250 0.929 0.857
Zn2 0.750 0.071 0.143


Entry 7:
Compound: TmZn11Ge
Source: Alexandria via LeMat-Bulk
Functional: PBE
Structure: relaxed

Total magnetic moment: 0.0 Bohr magnetons per cell
Energy: -1.871 eV per atom
Energy relative to the elements: -0.09 eV/atom
SG: C2/m, No. 12

Cell: 5.278 6.823 6.862 Å, 81.21 67.38 66.58°
Element x y z (fractional)
Zn1 0.987 0.649 0.360
Zn2 0.500 0.000 0.500
Zn3 0.276 0.210 0.215
Zn4 0.013 0.351 0.640
Zn5 0.724 0.790 0.785
Zn6 0.508 0.790 0.215
Zn7 0.653 0.351 0.360
Zn8 0.000 0.500 0.000
Zn9 0.347 0.649 0.640
Zn10 0.492 0.210 0.785
Zn11 0.000 0.000 0.500
Tm1 0.000 0.000 0.000
Ge1 0.500 0.500 0.000


Entry 8:
Compound: Mg2GaSbO
Source: Alexandria via LeMat-Bulk
Functional: PBE
Structure: relaxed

Total magnetic moment: 0.0 Bohr magnetons per cell
Energy: -3.017 eV per atom
E_form (uncorrected): 0.04 eV/atom
SG: P4/mmm, No. 123

Cell: 5.565 4.120 5.565 Å, 90.00 90.00 90.00°
Element x y z (fractional)
Mg1 0.000 0.000 0.500
Mg2 0.500 0.000 0.000
O1 0.000 0.500 0.000
Sb1 0.000 0.000 0.000
Ga1 0.500 0.500 0.500